# 1
The following is a SCAN calculation of a crystal of MgZrPt relaxed with PBEsol, from Alexandria.

a b c (Å): 3.1760 3.1760 6.0136
angles (deg): 105.31 105.31 90.00
Site moments in Bohr magnetons follow the coordinates.
Sites, in units of the cell vectors:
Mg  0.9795  0.9795  0.9591  0.00
Pt  0.3340  0.3340  0.6680  -0.04
Zr  0.6865  0.6865  0.3729  -0.35

Values from the calculation:
SG	I4mm, No. 107



# 2
The following is a SCAN calculation of a crystal of MgZr2Pt relaxed with PBEsol, from Alexandria.

a b c (Å): 3.0395 3.0395 10.0864
angles (deg): 81.33 81.33 60.00
Sites, in units of the cell vectors:
Zr  0.2576  0.2576  0.2273
Zr  0.7424  0.7424  0.7727
Mg  0.5000  0.5000  0.5000
Pt  0.0000  0.0000  0.0000

Values from the calculation:
SG	R-3m, No. 166



# 3
The following is a SCAN calculation of a crystal of MgZrPt relaxed with PBEsol, from Alexandria.

a b c (Å): 4.4869 4.4869 4.4869
angles (deg): 60.00 60.00 60.00
Sites, in units of the cell vectors:
Zr  0.2500  0.2500  0.2500
Pt  0.5000  0.5000  0.5000
Mg  0.0000  0.0000  0.0000

Values from the calculation:
SG	F-43m, No. 216



# 4
The following is a SCAN calculation of a crystal of MgZr2Pt relaxed with PBEsol, from Alexandria.

a b c (Å): 3.2029 4.0584 5.8591
angles (deg): 90.00 90.00 90.00
Sites, in units of the cell vectors:
Zr  0.0000  0.0000  0.2665
Zr  0.0000  0.0000  0.7335
Pt  0.5000  0.5000  0.5000
Mg  0.5000  0.5000  0.0000

Values from the calculation:
SG	Pmmm, No. 47



# 5
The following is a SCAN calculation of a crystal of Rb3Mg2 relaxed with PBEsol, from Alexandria.

a b c (Å): 6.3312 6.3312 8.1043
angles (deg): 90.00 90.00 120.00
Sites, in units of the cell vectors:
Mg  0.3333  0.6667  0.8986
Mg  0.6667  0.3333  0.1014
Rb  0.3333  0.6667  0.3613
Rb  0.6667  0.3333  0.6387
Rb  0.0000  0.0000  0.0000

Values from the calculation:
SG	P-3m1, No. 164



# 6
The following is a SCAN calculation of a crystal of Rb3Mg relaxed with PBEsol, from Alexandria.

a b c (Å): 5.9283 6.6473 7.6324
angles (deg): 115.82 112.85 90.00
Sites, in units of the cell vectors:
Rb  0.7355  0.7355  0.4711
Rb  0.5000  0.0000  0.0000
Rb  0.2645  0.2645  0.5289
Mg  0.0000  0.5000  0.0000

Values from the calculation:
SG	Immm, No. 71



# 7
The following is a SCAN calculation of a crystal of Rb2Mg3 relaxed with PBEsol, from Alexandria.

a b c (Å): 3.7684 3.7684 15.5724
angles (deg): 83.05 83.05 60.00
Sites, in units of the cell vectors:
Rb  0.4046  0.4046  0.7861
Rb  0.5954  0.5954  0.2139
Mg  0.1912  0.1912  0.4264
Mg  0.8088  0.8088  0.5736
Mg  0.0000  0.0000  0.0000

Values from the calculation:
SG	R-3m, No. 166



# 8
The following is a SCAN calculation of a crystal of RbMg3 relaxed with PBEsol, from Alexandria.

a b c (Å): 3.3571 5.4822 7.6527
angles (deg): 95.97 90.00 107.83
Sites, in units of the cell vectors:
Mg  0.7647  0.5294  0.3332
Mg  0.5000  0.0000  0.5000
Mg  0.2353  0.4706  0.6668
Rb  0.0000  0.0000  0.0000

Values from the calculation:
SG	C2/m, No. 12



Number 1: DOS(E_F) 2.39 states/eV per cell, E_form -0.74 eV per atom. Number 2: DOS(E_F) 3.22 states/eV per cell, E_form -0.26 eV per atom. Number 3: DOS(E_F) 2.72 states/eV per cell, E_form -0.14 eV per atom. Number 4: DOS(E_F) 3.92 states/eV per cell, E_form -0.55 eV per atom. Number 5: DOS(E_F) 3.73 states/eV per cell, E_form 0.26 eV per atom. Number 6: DOS(E_F) 2.92 states/eV per cell, E_form 0.18 eV per atom. Number 7: DOS(E_F) 3.14 states/eV per cell, E_form 0.38 eV per atom. Number 8: DOS(E_F) 2.29 states/eV per cell, E_form 0.23 eV per atom.